(1)
# SrPm2CuO5 (PBE-GGA, optimized geometry)
data_SrPm2CuO5
_chemical_formula_sum 'Sr4 Pm8 Cu4 O20'
_space_group_name_H-M_alt 'I 4/m c m'
_space_group_IT_number 140
_space_group_name_Hall '-I 4 2c'
_cell_length_a 6.664
_cell_length_b 6.664
_cell_length_c 11.506
_cell_angle_alpha 90.00
_cell_angle_beta 90.00
_cell_angle_gamma 90.00
loop_
_atom_site_label
_atom_site_fract_x
_atom_site_fract_y
_atom_site_fract_z
Sr1 0.000 0.000 0.250
Pm1 0.171 0.329 0.000
Cu1 0.000 0.500 0.250
O1 0.000 0.000 0.000
O2 0.146 0.354 0.370
# DOS(E_F), states/eV/atom: 0.63
# Final energy, eV per atom: -7.00
# Formation energy without anion corrections, kJ/mol of formula units: -2210
# Total magnetic moment, Bohr magnetons per cell: 4.1

***

(2)
# PmTaCuO5 (PBE-GGA, optimized geometry)
data_PmTaCuO5
_chemical_formula_sum 'Pm4 Ta4 Cu4 O20'
_space_group_name_H-M_alt 'C 1 2/c 1'
_space_group_IT_number 15
_space_group_name_Hall '-C 2yc'
_cell_length_a 6.422
_cell_length_b 9.427
_cell_length_c 7.571
_cell_angle_alpha 90.00
_cell_angle_beta 111.80
_cell_angle_gamma 90.00
loop_
_atom_site_label
_atom_site_fract_x
_atom_site_fract_y
_atom_site_fract_z
Pm1 0.000 0.178 0.250
Ta1 0.000 0.500 0.000
Cu1 0.000 0.171 0.750
O1 0.000 0.434 0.250
O2 0.075 0.296 0.579
O3 0.173 0.027 0.923
# DOS(E_F), states/eV/atom: 0.10
# Final energy, eV per atom: -8.10
# Formation energy without anion corrections, kJ/mol of formula units: -1866
# Total magnetic moment, Bohr magnetons per cell: 4.0

***

(3)
# Pm2CuTcO6 (PBE-GGA, optimized geometry)
data_Pm2CuTcO6
_chemical_formula_sum 'Pm2 Cu1 Tc1 O6'
_space_group_name_H-M_alt 'P 4 m m'
_space_group_IT_number 99
_space_group_name_Hall 'P 4 -2'
_cell_length_a 5.226
_cell_length_b 5.226
_cell_length_c 5.092
_cell_angle_alpha 90.00
_cell_angle_beta 90.00
_cell_angle_gamma 90.00
loop_
_atom_site_label
_atom_site_fract_x
_atom_site_fract_y
_atom_site_fract_z
Pm1 0.000 0.500 0.000
Cu1 0.000 0.000 0.524
Tc1 0.500 0.500 0.561
O1 0.000 0.000 0.144
O2 0.261 0.261 0.722
O3 0.500 0.500 0.201
# DOS(E_F), states/eV/atom: 0.41
# Final energy, eV per atom: -7.40
# Formation energy without anion corrections, kJ/mol of formula units: -1956
# Total magnetic moment, Bohr magnetons per cell: 0.0

***

(4)
# PmCuTeO6 (PBE-GGA, optimized geometry)
data_PmCuTeO6
_chemical_formula_sum 'Pm2 Cu2 Te2 O12'
_space_group_name_H-M_alt 'P -3 1 c'
_space_group_IT_number 163
_space_group_name_Hall '-P 3 2c'
_cell_length_a 5.1836
_cell_length_b 5.1836
_cell_length_c 10.1943
_cell_angle_alpha 90.00
_cell_angle_beta 90.00
_cell_angle_gamma 120.00
loop_
_atom_site_label
_atom_site_fract_x
_atom_site_fract_y
_atom_site_fract_z
Pm1 0.0000 0.0000 0.0000
Cu1 0.3333 0.6667 0.2500
Te1 0.3333 0.6667 0.7500
O1 0.0102 0.3720 0.6418
# Final energy, eV per atom: -6.21
# Formation energy without anion corrections, kJ/mol of formula units: -1362
# Total magnetic moment, Bohr magnetons per cell: 4.0

***

(5)
# PmCu4Te3O12 (PBE-GGA, optimized geometry)
data_PmCu4Te3O12
_chemical_formula_sum 'Pm3 Cu12 Te9 O36'
_space_group_name_H-M_alt 'R 3 2'
_space_group_IT_number 155
_space_group_name_Hall 'R 3 2"'
_cell_length_a 11.0686
_cell_length_b 11.0686
_cell_length_c 7.6547
_cell_angle_alpha 90.00
_cell_angle_beta 90.00
_cell_angle_gamma 120.00
loop_
_atom_site_label
_atom_site_fract_x
_atom_site_fract_y
_atom_site_fract_z
Pm1 0.0000 0.0000 0.0000
Cu1 0.0000 0.0000 0.5000
Cu2 0.0000 0.3999 0.5000
Te1 0.0000 0.5657 0.0000
O1 0.0000 0.5996 0.5000
O2 0.0000 0.8295 0.5000
O3 0.0583 0.2010 0.1956
# DOS(E_F), states/eV/atom: 0.36
# Final energy, eV per atom: -5.52
# Formation energy without anion corrections, kJ/mol of formula units: -1959
# Total magnetic moment, Bohr magnetons per cell: 0.0

***

(6)
# Pm2CuTe2O2 (PBE-GGA, optimized geometry)
data_Pm2CuTe2O2
_chemical_formula_sum 'Pm2 Cu1 Te2 O2'
_space_group_name_H-M_alt 'P -3 m 1'
_space_group_IT_number 164
_space_group_name_Hall '-P 3 2"'
_cell_length_a 3.9742
_cell_length_b 3.9742
_cell_length_c 12.4068
_cell_angle_alpha 90.00
_cell_angle_beta 90.00
_cell_angle_gamma 120.00
loop_
_atom_site_label
_atom_site_fract_x
_atom_site_fract_y
_atom_site_fract_z
Pm1 0.3333 0.6667 0.1201
Cu1 0.0000 0.0000 0.5000
Te1 0.0000 0.0000 0.3053
O1 0.3333 0.6667 0.9271
# DOS(E_F), states/eV/atom: 0.30
# Final energy, eV per atom: -6.12
# Formation energy without anion corrections, kJ/mol of formula units: -1256
# Total magnetic moment, Bohr magnetons per cell: 0.0

***

(7)
# PmCuTeO5 (PBE-GGA, optimized geometry)
data_PmCuTeO5
_chemical_formula_sum 'Pm4 Cu4 Te4 O20'
_space_group_name_H-M_alt 'C 1 2/c 1'
_space_group_IT_number 15
_space_group_name_Hall '-C 2yc'
_cell_length_a 6.643
_cell_length_b 9.431
_cell_length_c 7.678
_cell_angle_alpha 90.00
_cell_angle_beta 113.69
_cell_angle_gamma 90.00
loop_
_atom_site_label
_atom_site_fract_x
_atom_site_fract_y
_atom_site_fract_z
Pm1 0.000 0.176 0.250
Cu1 0.000 0.189 0.750
Te1 0.000 0.500 0.000
O1 0.000 0.436 0.250
O2 0.083 0.297 0.566
O3 0.187 0.034 0.913
# DOS(E_F), states/eV/atom: 0.52
# Final energy, eV per atom: -6.23
# Formation energy without anion corrections, kJ/mol of formula units: -1260
# Total magnetic moment, Bohr magnetons per cell: 0.0

***

(8)
# PmCu2TeO6 (PBE-GGA, optimized geometry)
data_PmCu2TeO6
_chemical_formula_sum 'Pm1 Cu2 Te1 O6'
_space_group_name_H-M_alt 'P 1'
_space_group_IT_number 1
_space_group_name_Hall 'P 1'
_cell_length_a 5.321
_cell_length_b 5.340
_cell_length_c 5.977
_cell_angle_alpha 64.40
_cell_angle_beta 65.98
_cell_angle_gamma 61.75
loop_
_atom_site_label
_atom_site_fract_x
_atom_site_fract_y
_atom_site_fract_z
Pm1 0.000 0.000 0.000
Cu1 0.210 0.186 0.408
Cu2 0.775 0.773 0.690
Te1 0.518 0.508 0.462
O1 0.153 0.774 0.658
O2 0.290 0.562 0.246
O3 0.413 0.142 0.670
O4 0.594 0.867 0.236
O5 0.729 0.420 0.705
O6 0.885 0.278 0.261
# DOS(E_F), states/eV/atom: 0.25
# Final energy, eV per atom: -6.00
# Formation energy without anion corrections, kJ/mol of formula units: -1366
# Total magnetic moment, Bohr magnetons per cell: 1.0

***

(9)
# Pm2TlCuO5 (PBE-GGA, optimized geometry)
data_Pm2TlCuO5
_chemical_formula_sum 'Pm4 Tl2 Cu2 O10'
_space_group_name_H-M_alt 'P 4/m b m'
_space_group_IT_number 127
_space_group_name_Hall '-P 4 2ab'
_cell_length_a 6.796
_cell_length_b 6.796
_cell_length_c 5.676
_cell_angle_alpha 90.00
_cell_angle_beta 90.00
_cell_angle_gamma 90.00
loop_
_atom_site_label
_atom_site_fract_x
_atom_site_fract_y
_atom_site_fract_z
Pm1 0.177 0.323 0.000
Tl1 0.000 0.000 0.500
Cu1 0.000 0.500 0.500
O1 0.000 0.000 0.000
O2 0.128 0.628 0.253
# DOS(E_F), states/eV/atom: 0.24
# Final energy, eV per atom: -6.62
# Formation energy without anion corrections, kJ/mol of formula units: -1815
# Total magnetic moment, Bohr magnetons per cell: 0.0

***

(10)
# PmUCuO6 (PBE-GGA, optimized geometry)
data_PmUCuO6
_chemical_formula_sum 'Pm2 U2 Cu2 O12'
_space_group_name_H-M_alt 'P -3 1 c'
_space_group_IT_number 163
_space_group_name_Hall '-P 3 2c'
_cell_length_a 5.3209
_cell_length_b 5.3209
_cell_length_c 10.3702
_cell_angle_alpha 90.00
_cell_angle_beta 90.00
_cell_angle_gamma 120.00
loop_
_atom_site_label
_atom_site_fract_x
_atom_site_fract_y
_atom_site_fract_z
Pm1 0.0000 0.0000 0.0000
U1 0.3333 0.6667 0.2500
Cu1 0.3333 0.6667 0.7500
O1 0.0065 0.3586 0.6396
# DOS(E_F), states/eV/atom: 0.01
# Final energy, eV per atom: -7.96
# Formation energy without anion corrections, kJ/mol of formula units: -2095
# Total magnetic moment, Bohr magnetons per cell: 4.0

***

Q: total magnetic moment of number 5 (PmCu4Te3O12)?
A: 0.0 Bohr magnetons per cell

***

Q: The lowest formation energy without anion corrections belongs to which entry?
A: SrPm2CuO5